No. 1
First-principles (PBE) data for crystalline KFe2Rh at its relaxed geometry, as listed in Alexandria.

Cell lengths 8.2708, 2.7804, 7.0802 Å; angles 90.00, 95.03, 90.00 degrees
Positions (direct):
K 0.0000 0.0000 0.0000
K 0.5000 0.5000 0.0000
Fe 0.2780 0.5000 0.3620
Fe 0.4992 0.0000 0.5089
Fe 0.7780 0.0000 0.3620
Fe 0.9992 0.5000 0.5089
Rh 0.2331 0.0000 0.6542
Rh 0.7331 0.5000 0.6542

SG: No. 8
Electronic total energy: -45.99 eV/cell
DOS(E_F): 8.5 states/eV/cell
Energy above the most stable polymorph in this dataset: 0.28 eV per formula unit
Total moment: 12.72 μB per cell
Energy relative to the elements: 595 meV per atom

No. 2
First-principles (PBE) data for crystalline VCdH at its relaxed geometry, as listed in Alexandria.

Cell lengths 2.9938, 3.0017, 9.3187 Å; angles 86.49, 86.58, 65.35 degrees
Positions (direct):
V 0.0000 0.0000 0.0000
V 0.4902 0.4954 0.2005
Cd 0.1033 0.1060 0.4563
Cd 0.6900 0.6972 0.7386
H 0.6387 0.6382 0.0121
H 0.8498 0.8559 0.1895

SG: No. 1
Electronic total energy: -26.80 eV/cell
DOS(E_F): 2.6 states/eV/cell
Energy above the most stable polymorph in this dataset: 0.08 eV per formula unit
Total moment: 0.00 μB per cell

No. 3
First-principles (PBE) data for crystalline PaGaRh at its relaxed geometry, as listed in Alexandria.

Cell lengths 3.6139, 14.3797, 4.3045 Å; angles 90.00, 90.00, 90.00 degrees
Positions (direct):
Pa 0.0000 0.0682 0.2500
Pa 0.0000 0.9318 0.7500
Pa 0.5000 0.4318 0.7500
Pa 0.5000 0.5682 0.2500
Ga 0.0000 0.2520 0.7500
Ga 0.0000 0.7480 0.2500
Ga 0.5000 0.2480 0.2500
Ga 0.5000 0.7520 0.7500
Rh 0.0000 0.3826 0.2500
Rh 0.0000 0.6174 0.7500
Rh 0.5000 0.1174 0.7500
Rh 0.5000 0.8826 0.2500

SG: No. 63
Electronic total energy: -86.58 eV/cell
DOS(E_F): 9.2 states/eV/cell
Total moment: 0.00 μB per cell
Energy relative to the elements: -590 meV per atom

No. 4
First-principles (PBE) data for crystalline RbMn5S8 at its relaxed geometry, as listed in Alexandria.

Cell lengths 8.9639, 8.9639, 8.7057 Å; angles 105.18, 105.18, 22.26 degrees
Positions (direct):
Rb 0.0000 0.0000 0.0000
Mn 0.1632 0.1632 0.4982
Mn 0.2051 0.2051 0.8353
Mn 0.5000 0.5000 0.5000
Mn 0.7949 0.7949 0.1647
Mn 0.8368 0.8368 0.5018
S 0.0733 0.0733 0.6577
S 0.2572 0.2572 0.3421
S 0.3322 0.3322 0.0132
S 0.4104 0.4104 0.6567
S 0.5896 0.5896 0.3433
S 0.6678 0.6678 0.9868
S 0.7428 0.7428 0.6579
S 0.9267 0.9267 0.3423

SG: No. 12
Electronic total energy: -89.01 eV/cell
ΔE_f (raw): -0.655 eV/atom
DOS(E_F): 8.9 states/eV/cell
Total moment: 15.55 μB per cell

No. 5
First-principles (PBE) data for crystalline Sm3RuO7 at its relaxed geometry, as listed in Alexandria.

Cell lengths 6.5958, 6.5958, 7.5576 Å; angles 90.00, 90.00, 108.75 degrees
Positions (direct):
Sm 0.0320 0.0320 0.0000
Sm 0.0379 0.4982 0.2571
Sm 0.4982 0.0379 0.7429
Sm 0.5018 0.9621 0.2429
Sm 0.9621 0.5018 0.7571
Sm 0.9680 0.9680 0.5000
Ru 0.4996 0.4996 0.0000
Ru 0.5004 0.5004 0.5000
O 0.1300 0.8700 0.7500
O 0.1370 0.8630 0.2500
O 0.1793 0.4222 0.9755
O 0.1970 0.4456 0.5375
O 0.4222 0.1793 0.0245
O 0.4337 0.5663 0.2500
O 0.4456 0.1970 0.4625
O 0.5544 0.8030 0.9625
O 0.5663 0.4337 0.7500
O 0.5778 0.8207 0.5245
O 0.8030 0.5544 0.0375
O 0.8207 0.5778 0.4755
O 0.8630 0.1370 0.7500
O 0.8700 0.1300 0.2500

SG: No. 20
Electronic total energy: -175.02 eV/cell
ΔE_f (raw): -2.670 eV/atom
DOS(E_F): 1.2 states/eV/cell
Total moment: 6.00 μB per cell

No. 6
First-principles (PBE) data for crystalline LaReO2 at its relaxed geometry, as listed in Alexandria.

Cell lengths 4.5043, 4.5043, 12.5012 Å; angles 90.00, 90.00, 90.00 degrees
Positions (direct):
La 0.0000 0.0000 0.0000
La 0.0000 0.5000 0.2500
La 0.5000 0.0000 0.7500
La 0.5000 0.5000 0.5000
Re 0.0000 0.0000 0.5000
Re 0.0000 0.5000 0.7500
Re 0.5000 0.0000 0.2500
Re 0.5000 0.5000 0.0000
O 0.1336 0.2500 0.6250
O 0.2500 0.6336 0.8750
O 0.2500 0.8664 0.3750
O 0.3664 0.2500 0.1250
O 0.6336 0.7500 0.1250
O 0.7500 0.1336 0.3750
O 0.7500 0.3664 0.8750
O 0.8664 0.7500 0.6250

SG: No. 122
Electronic total energy: -130.53 eV/cell
ΔE_f (raw): -1.335 eV/atom
DOS(E_F): 3.4 states/eV/cell
Energy above the most stable polymorph in this dataset: 0.70 eV per formula unit
Total moment: 0.00 μB per cell

No. 7
First-principles (PBE) data for crystalline Cs4K3NaF8 at its relaxed geometry, as listed in Alexandria.

Cell lengths 8.0698, 8.0698, 8.0698 Å; angles 59.55, 59.55, 59.55 degrees
Positions (direct):
Cs 0.0000 0.0000 0.0000
Cs 0.0000 0.5000 0.5000
Cs 0.5000 0.0000 0.5000
Cs 0.5000 0.5000 0.0000
K 0.0000 0.0000 0.5000
K 0.0000 0.5000 0.0000
K 0.5000 0.0000 0.0000
Na 0.5000 0.5000 0.5000
F 0.2398 0.2398 0.2398
F 0.2514 0.7313 0.7313
F 0.2687 0.2687 0.7486
F 0.2687 0.7486 0.2687
F 0.7313 0.2514 0.7313
F 0.7313 0.7313 0.2514
F 0.7486 0.2687 0.2687
F 0.7602 0.7602 0.7602

SG: No. 166
Electronic total energy: -65.17 eV/cell
ΔE_f (raw): -2.636 eV/atom
DOS(E_F): 0.0 states/eV/cell
Total moment: 0.52 μB per cell

No. 8
First-principles (PBE) data for crystalline Nd4ScTl2 at its relaxed geometry, as listed in Alexandria.

Cell lengths 9.4235, 9.4235, 9.4235 Å; angles 34.33, 34.33, 34.33 degrees
Positions (direct):
Nd 0.1306 0.1306 0.1306
Nd 0.2701 0.2701 0.2701
Nd 0.7299 0.7299 0.7299
Nd 0.8694 0.8694 0.8694
Sc 0.5000 0.5000 0.5000
Tl 0.3906 0.3906 0.3906
Tl 0.6094 0.6094 0.6094

SG: No. 166
Electronic total energy: -30.16 eV/cell
DOS(E_F): 11.8 states/eV/cell
Energy above the most stable polymorph in this dataset: 0.00 eV per formula unit
Total moment: 0.00 μB per cell
Energy relative to the elements: -4 meV per atom

No. 9
First-principles (PBE) data for crystalline TaCu2Au at its relaxed geometry, as listed in Alexandria.

Cell lengths 6.1707, 6.1707, 6.1707 Å; angles 90.00, 90.00, 90.00 degrees
Positions (direct):
Ta 0.0000 0.0000 0.0000
Ta 0.0000 0.5000 0.5000
Ta 0.5000 0.0000 0.5000
Ta 0.5000 0.5000 0.0000
Cu 0.2500 0.2500 0.2500
Cu 0.2500 0.2500 0.7500
Cu 0.2500 0.7500 0.2500
Cu 0.2500 0.7500 0.7500
Cu 0.7500 0.2500 0.2500
Cu 0.7500 0.2500 0.7500
Cu 0.7500 0.7500 0.2500
Cu 0.7500 0.7500 0.7500
Au 0.0000 0.0000 0.5000
Au 0.0000 0.5000 0.0000
Au 0.5000 0.0000 0.0000
Au 0.5000 0.5000 0.5000

SG: No. 225
Electronic total energy: -92.23 eV/cell
DOS(E_F): 6.6 states/eV/cell
Energy above the most stable polymorph in this dataset: 0.16 eV per formula unit
Total moment: 0.00 μB per cell
Energy relative to the elements: 66 meV per atom

No. 10
First-principles (PBE) data for crystalline Ce3Ge3Os2 at its relaxed geometry, as listed in Alexandria.

Cell lengths 15.8404, 4.4248, 5.1142 Å; angles 90.00, 102.19, 90.00 degrees
Positions (direct):
Ce 0.0000 0.0000 0.0000
Ce 0.1637 0.0000 0.5795
Ce 0.3363 0.5000 0.4205
Ce 0.5000 0.5000 0.0000
Ce 0.6637 0.5000 0.5795
Ce 0.8363 0.0000 0.4205
Ge 0.0000 0.5000 0.5000
Ge 0.1343 0.5000 0.0523
Ge 0.3657 0.0000 0.9477
Ge 0.5000 0.0000 0.5000
Ge 0.6343 0.0000 0.0523
Ge 0.8657 0.5000 0.9477
Os 0.2096 0.0000 0.1081
Os 0.2904 0.5000 0.8919
Os 0.7096 0.5000 0.1081
Os 0.7904 0.0000 0.8919

SG: No. 12
Electronic total energy: -116.13 eV/cell
DOS(E_F): 18.3 states/eV/cell
Energy above the most stable polymorph in this dataset: 0.25 eV per formula unit
Total moment: 1.53 μB per cell
Energy relative to the elements: -494 meV per atom

No. 11
First-principles (PBE) data for crystalline Li7Mg2Ag at its relaxed geometry, as listed in Alexandria.

Cell lengths 6.8554, 6.8554, 6.8554 Å; angles 60.00, 60.00, 60.00 degrees
Positions (direct):
Li 0.0000 0.0000 0.0000
Li 0.2491 0.2491 0.7509
Li 0.2491 0.7509 0.2491
Li 0.2491 0.7509 0.7509
Li 0.7509 0.2491 0.2491
Li 0.7509 0.2491 0.7509
Li 0.7509 0.7509 0.2491
Mg 0.2500 0.2500 0.2500
Mg 0.7500 0.7500 0.7500
Ag 0.5000 0.5000 0.5000

SG: No. 225
Electronic total energy: -17.40 eV/cell
DOS(E_F): 5.9 states/eV/cell
Energy above the most stable polymorph in this dataset: 1.84 eV per formula unit
Total moment: 0.00 μB per cell
Energy relative to the elements: 204 meV per atom

No. 12
First-principles (PBE) data for crystalline TmSc3C2 at its relaxed geometry, as listed in Alexandria.

Cell lengths 6.7507, 6.7507, 5.8046 Å; angles 90.00, 90.00, 120.00 degrees
Positions (direct):
Tm 0.3333 0.6667 0.2596
Tm 0.6667 0.3333 0.7404
Sc 0.1673 0.3347 0.7078
Sc 0.1673 0.8327 0.7078
Sc 0.3347 0.1673 0.2922
Sc 0.6653 0.8327 0.7078
Sc 0.8327 0.1673 0.2922
Sc 0.8327 0.6653 0.2922
C 0.0000 0.0000 0.5000
C 0.0000 0.5000 0.5000
C 0.5000 0.0000 0.5000
C 0.5000 0.5000 0.5000

SG: No. 164
Electronic total energy: -88.52 eV/cell
DOS(E_F): 9.8 states/eV/cell
Total moment: 0.00 μB per cell
Energy relative to the elements: -391 meV per atom